# 1
{"formula": "CaHf2Te", "functional": "GGA-PBE", "state": "relaxed", "formation_energy_uncorrected_ev_per_atom": 0.203, "mass_density_g_cm3": 7.86, "final_energy_ry_per_atom": -0.4454, "dos_ef_per_ev_cell": 7.86, "sg": "I-42d (122)", "cell": [[-7.552, 0.846, -3.998], [1.429, -7.324, -4.249], [-4.402, -4.780, -1.918]], "species": ["Ca", "Ca", "Te", "Te", "Hf", "Hf", "Hf", "Hf"], "frac_coords": [[0.500, 0.500, 0.000], [0.250, 0.750, 0.500], [0.000, 0.000, 0.000], [0.750, 0.250, 0.500], [0.675, 0.125, 0.250], [0.075, 0.625, 0.250], [0.375, 0.325, 0.750], [0.875, 0.925, 0.750]]}

# 2
{"formula": "HgI2O6", "functional": "GGA-PBE", "state": "relaxed", "formation_energy_uncorrected_ev_per_atom": -0.331, "relative_energy_mev_per_atom": 0, "mass_density_g_cm3": 5.98, "final_energy_ry_per_atom": -0.2951, "dos_ef_per_ev_cell": 0.00, "sg": "P2_1 (4)", "cell": [[5.505, 0.000, 0.000], [0.000, 6.162, -0.038], [0.000, 2.011, 8.992]], "species": ["Hg", "Hg", "I", "I", "I", "I", "O", "O", "O", "O", "O", "O", "O", "O", "O", "O", "O", "O"], "frac_coords": [[0.336, 0.480, 0.168], [0.836, 0.520, 0.832], [0.333, 0.766, 0.440], [0.833, 0.234, 0.560], [0.860, 0.094, 0.147], [0.360, 0.906, 0.853], [0.510, 0.528, 0.403], [0.010, 0.472, 0.597], [0.547, 0.995, 0.375], [0.047, 0.005, 0.625], [0.144, 0.778, 0.271], [0.644, 0.222, 0.729], [0.643, 0.321, 0.059], [0.143, 0.679, 0.941], [0.012, 0.249, 0.274], [0.512, 0.751, 0.726], [0.074, 0.168, 0.993], [0.574, 0.832, 0.007]]}

# 3
{"formula": "ErLu2", "functional": "GGA-PBE", "state": "relaxed", "relative_energy_mev_per_atom": 262, "e_form_ev_per_atom": 0.295, "mass_density_g_cm3": 9.13, "final_energy_ry_per_atom": -0.3116, "dos_ef_per_ev_cell": 12.01, "sg": "Fd-3m (227)", "cell": [[6.432, 0.000, 0.000], [3.216, 5.571, 0.000], [3.216, 1.857, 5.252]], "species": ["Lu", "Lu", "Lu", "Lu", "Er", "Er"], "frac_coords": [[0.125, 0.625, 0.625], [0.625, 0.125, 0.625], [0.625, 0.625, 0.625], [0.625, 0.625, 0.125], [0.000, 0.000, 0.000], [0.250, 0.250, 0.250]]}

# 4
{"formula": "BaZrCd3", "functional": "GGA-PBE", "state": "relaxed", "relative_energy_mev_per_atom": 1020, "e_form_ev_per_atom": 1.276, "mass_density_g_cm3": 4.39, "final_energy_ry_per_atom": -0.1005, "dos_ef_per_ev_cell": 6.27, "sg": "Pm-3m (221)", "cell": [[5.982, 0.000, 0.000], [0.000, 5.982, 0.000], [0.000, 0.000, 5.982]], "species": ["Ba", "Zr", "Cd", "Cd", "Cd"], "frac_coords": [[0.000, 0.000, 0.000], [0.500, 0.500, 0.500], [0.000, 0.500, 0.000], [0.000, 0.000, 0.500], [0.500, 0.000, 0.000]]}

# 5
{"formula": "Bi2PRu", "functional": "GGA-PBE", "state": "relaxed", "e_form_ev_per_atom": 0.581, "mass_density_g_cm3": 7.61, "final_energy_ry_per_atom": -0.3697, "dos_ef_per_ev_cell": 9.45, "sg": "I-42d (122)", "cell": [[6.274, 0.000, 0.000], [0.000, 6.274, 0.000], [3.137, 3.137, 6.094]], "species": ["Ru", "Ru", "Bi", "Bi", "Bi", "Bi", "P", "P"], "frac_coords": [[0.000, 0.000, 0.000], [0.750, 0.250, 0.500], [0.644, 0.125, 0.250], [0.106, 0.625, 0.250], [0.375, 0.356, 0.750], [0.875, 0.894, 0.750], [0.500, 0.500, 0.000], [0.250, 0.750, 0.500]]}

# 6
{"formula": "CaNdGa2", "functional": "GGA-PBE", "state": "relaxed", "e_form_ev_per_atom": -0.525, "mass_density_g_cm3": 5.08, "final_energy_ry_per_atom": -0.2742, "dos_ef_per_ev_cell": 3.90, "sg": "Amm2 (38)", "cell": [[4.444, 0.000, -0.031], [0.000, 4.227, 0.000], [-2.185, 0.000, 5.650]], "species": ["Ca", "Nd", "Ga", "Ga"], "frac_coords": [[0.724, 0.000, 0.987], [0.442, 0.500, 0.423], [0.154, 0.500, 0.847], [0.011, 0.000, 0.561]]}

# 7
{"formula": "Th4Fe2Br5", "functional": "GGA-PBE", "state": "relaxed", "formation_energy_uncorrected_ev_per_atom": -0.922, "mass_density_g_cm3": 7.46, "final_energy_ry_per_atom": -0.4351, "dos_ef_per_ev_cell": 2.31, "sg": "P-1 (2)", "cell": [[3.740, 0.125, -0.712], [-0.502, 8.927, -3.379], [0.485, -0.361, 9.635]], "species": ["Th", "Th", "Th", "Th", "Fe", "Fe", "Br", "Br", "Br", "Br", "Br"], "frac_coords": [[0.209, 0.625, 0.337], [0.980, 0.291, 0.017], [0.791, 0.375, 0.663], [0.020, 0.709, 0.983], [0.558, 0.508, 0.121], [0.442, 0.492, 0.879], [0.196, 0.318, 0.376], [0.804, 0.682, 0.624], [0.139, 0.916, 0.311], [0.500, 0.000, 0.000], [0.861, 0.084, 0.689]]}

# 8
{"formula": "AgAu2Br", "functional": "GGA-PBE", "state": "relaxed", "formation_energy_uncorrected_ev_per_atom": 0.034, "relative_energy_mev_per_atom": 0, "mass_density_g_cm3": 10.74, "final_energy_ry_per_atom": -0.2011, "dos_ef_per_ev_cell": 0.33, "sg": "Pm (6)", "cell": [[-2.626, -2.229, -0.917], [1.483, -2.561, 1.980], [-3.787, 2.162, 5.586]], "species": ["Au", "Au", "Br", "Ag"], "frac_coords": [[0.000, 0.997, 0.009], [0.500, 0.498, 0.192], [0.000, 0.510, 0.501], [0.500, 0.495, 0.799]]}

# 9
{"formula": "CeGdThZn", "functional": "GGA-PBE", "state": "relaxed", "e_form_ev_per_atom": 0.097, "mass_density_g_cm3": 9.55, "final_energy_ry_per_atom": -0.5204, "dos_ef_per_ev_cell": 8.08, "sg": "F-43m (216)", "cell": [[-2.284, 0.189, -4.744], [1.013, -3.747, -3.562], [-3.725, -3.502, -1.272]], "species": ["Zn", "Gd", "Ce", "Th"], "frac_coords": [[0.250, 0.250, 0.250], [0.500, 0.500, 0.500], [0.750, 0.750, 0.750], [0.000, 0.000, 0.000]]}

# 10
{"formula": "Al2Ga2Mo", "functional": "GGA-PBE", "state": "relaxed", "relative_energy_mev_per_atom": 88, "e_form_ev_per_atom": 0.205, "mass_density_g_cm3": 5.80, "final_energy_ry_per_atom": -0.3431, "dos_ef_per_ev_cell": 5.33, "sg": "P4/mbm (127)", "cell": [[6.775, 0.000, 0.000], [0.000, 6.775, 0.000], [0.000, 0.000, 3.608]], "species": ["Mo", "Mo", "Al", "Al", "Al", "Al", "Ga", "Ga", "Ga", "Ga"], "frac_coords": [[0.000, 0.000, 0.000], [0.500, 0.500, 0.000], [0.359, 0.859, 0.000], [0.859, 0.641, 0.000], [0.641, 0.141, 0.000], [0.141, 0.359, 0.000], [0.163, 0.663, 0.500], [0.663, 0.837, 0.500], [0.837, 0.337, 0.500], [0.337, 0.163, 0.500]]}

# 11
{"formula": "Er2ScCd2", "functional": "GGA-PBE", "state": "relaxed", "relative_energy_mev_per_atom": 132, "e_form_ev_per_atom": -0.094, "mass_density_g_cm3": 7.55, "final_energy_ry_per_atom": -0.2610, "dos_ef_per_ev_cell": 5.94, "sg": "Immm (71)", "cell": [[-2.208, 0.166, -3.188], [2.975, -3.158, -4.589], [-2.450, -5.740, -0.965]], "species": ["Er", "Er", "Sc", "Cd", "Cd"], "frac_coords": [[0.221, 0.279, 0.279], [0.779, 0.721, 0.721], [0.000, 0.000, 0.000], [0.500, 0.298, 0.702], [0.500, 0.702, 0.298]]}